A geometry-optimized ScMo2Os structure. Source: Alexandria, functional GGA-PBEsol.

Cell: 3.125 4.521 5.210 Å, 115.71 107.45 90.00°
Fractional coordinates of all 4 atoms:
Mo 0.012 0.012 0.024
Mo 0.748 0.248 0.495
Sc 0.250 0.750 0.499
Os 0.491 0.491 0.981

Properties
Energy, eV per atom: -10.60
Relative energy among the computed polymorphs, meV/atom: 86
Crystal system: orthorhombic
ρ, g/cm3: 11.34

---

A geometry-optimized MoPt8 structure. Source: Alexandria, functional GGA-PBEsol.

Cell: 3.890 6.194 6.194 Å, 84.34 71.70 71.70°
Fractional coordinates of all 9 atoms:
Pt 0.338 0.000 0.323
Pt 0.671 0.329 0.329
Pt 0.000 0.329 0.671
Pt 0.662 0.677 0.000
Pt 0.338 0.323 0.000
Pt 0.329 0.671 0.671
Pt 0.662 0.000 0.677
Pt 0.000 0.671 0.329
Mo 0.000 0.000 0.000

Properties
Energy, eV per atom: -7.69
Crystal system: tetragonal
ρ, g/cm3: 20.45

---

A geometry-optimized BaSc2Mn structure. Source: Alexandria, functional GGA-PBEsol.

Cell: 3.376 4.786 6.993 Å, 90.00 103.88 90.00°
Last column: magnetic moment on the atom in μB.
Fractional coordinates of all 4 atoms:
Sc 0.182 0.000 0.990  -0.42
Sc 0.763 0.500 0.153  -0.39
Mn 0.102 0.500 0.828  3.08
Ba 0.453 0.000 0.529  -0.07

Properties
Energy, eV per atom: -5.82
Crystal system: monoclinic
ρ, g/cm3: 4.27

---

A geometry-optimized TmP structure. Source: Alexandria, functional GGA-PBEsol.

Cell: 3.897 3.897 3.897 Å, 60.00 60.00 60.00°
Fractional coordinates of all 2 atoms:
P 0.500 0.500 0.500
Tm 0.000 0.000 0.000

Properties
Energy, eV per atom: -6.98
Crystal system: cubic
ρ, g/cm3: 7.93

---

A geometry-optimized ZnP2OF structure. Source: Alexandria, functional GGA-PBEsol.

Cell: 3.674 4.578 4.578 Å, 90.00 90.00 90.00°
Fractional coordinates of all 5 atoms:
F 0.500 0.500 0.500
P 0.000 0.500 0.000
P 0.000 0.000 0.500
O 0.500 0.000 0.000
Zn 0.000 0.000 0.000

Properties
Energy, eV per atom: -3.56
Crystal system: tetragonal
ρ, g/cm3: 3.50

---

A geometry-optimized CeSb12Os4 structure. Source: Alexandria, functional GGA-PBEsol.

Cell: 8.043 8.043 8.043 Å, 109.47 109.47 109.47°
Last column: magnetic moment on the atom in μB.
Fractional coordinates of all 17 atoms:
Sb 0.496 0.157 0.339  -0.01
Sb 0.339 0.496 0.157  -0.01
Sb 0.661 0.504 0.843  -0.01
Sb 0.818 0.157 0.661  -0.01
Sb 0.504 0.843 0.661  -0.01
Sb 0.843 0.339 0.182  -0.01
Sb 0.157 0.661 0.818  -0.01
Sb 0.157 0.339 0.496  -0.01
Sb 0.339 0.182 0.843  -0.01
Sb 0.182 0.843 0.339  -0.01
Sb 0.661 0.818 0.157  -0.01
Sb 0.843 0.661 0.504  -0.01
Os 0.000 0.500 0.000  -0.03
Os 0.500 0.000 0.000  -0.03
Os 0.500 0.500 0.500  -0.03
Os 0.000 0.000 0.500  -0.03
Ce 0.000 0.000 0.000  0.38

Properties
Energy, eV per atom: -6.67
Crystal system: cubic
ρ, g/cm3: 9.79

---

A geometry-optimized Dy4Si2S3O7 structure. Source: Alexandria, functional GGA-PBEsol.

Cell: 10.619 10.619 10.619 Å, 100.97 113.88 113.88°
Fractional coordinates of all 64 atoms:
S 0.396 0.375 0.271
S 0.896 0.875 0.271
S 0.500 0.250 0.750
S 0.104 0.729 0.125
S 0.104 0.375 0.979
S 0.604 0.875 0.979
S 0.396 0.021 0.125
S 0.000 0.000 0.000
S 0.896 0.021 0.625
S 0.500 0.750 0.250
S 0.000 0.500 0.500
S 0.604 0.729 0.625
O 0.234 0.942 0.459
O 0.000 0.776 0.776
O 0.234 0.291 0.775
O 0.734 0.549 0.283
O 0.266 0.459 0.475
O 0.766 0.565 0.799
O 0.766 0.225 0.709
O 0.734 0.185 0.451
O 0.517 0.225 0.459
O 0.266 0.717 0.451
O 0.234 0.201 0.435
O 0.734 0.209 0.192
O 0.500 0.974 0.474
O 0.983 0.459 0.192
O 0.766 0.201 0.967
O 0.483 0.942 0.709
O 0.234 0.033 0.799
O 0.983 0.525 0.791
O 0.266 0.808 0.791
O 0.483 0.541 0.775
O 0.766 0.541 0.058
O 0.517 0.291 0.058
O 0.017 0.808 0.541
O 0.266 0.549 0.815
O 0.734 0.525 0.541
O 0.000 0.224 0.224
O 0.500 0.526 0.026
O 0.017 0.209 0.475
Dy 0.764 0.034 0.798
Dy 0.236 0.034 0.270
Dy 0.264 0.716 0.980
Dy 0.000 0.327 0.673
Dy 0.500 0.077 0.923
Dy 0.154 0.077 0.577
Dy 0.236 0.202 0.966
Dy 0.736 0.020 0.284
Dy 0.264 0.548 0.284
Dy 0.736 0.716 0.452
Dy 0.000 0.673 0.327
Dy 0.500 0.423 0.577
Dy 0.346 0.673 0.673
Dy 0.654 0.327 0.327
Dy 0.764 0.730 0.966
Dy 0.846 0.423 0.923
Si 0.375 0.904 0.530
Si 0.625 0.155 0.530
Si 0.625 0.470 0.096
Si 0.875 0.280 0.154
Si 0.125 0.846 0.720
Si 0.375 0.470 0.845
Si 0.125 0.280 0.405
Si 0.875 0.595 0.720

Properties
Energy, eV per atom: -8.01
Crystal system: tetragonal
ρ, g/cm3: 6.70

---

A geometry-optimized Sm3In structure. Source: Alexandria, functional GGA-PBEsol.

Cell: 5.438 6.938 6.938 Å, 120.00 90.00 90.00°
Fractional coordinates of all 8 atoms:
Sm 0.750 0.350 0.175
Sm 0.750 0.825 0.650
Sm 0.250 0.650 0.825
Sm 0.750 0.825 0.175
Sm 0.250 0.175 0.825
Sm 0.250 0.175 0.350
In 0.250 0.667 0.333
In 0.750 0.333 0.667

Properties
Energy, eV per atom: -4.86
Relative energy among the computed polymorphs, meV/atom: 16
Crystal system: hexagonal
ρ, g/cm3: 8.29

---

A geometry-optimized ReAgHg2 structure. Source: Alexandria, functional GGA-PBEsol.

Cell: 2.807 4.931 5.234 Å, 90.00 90.00 90.00°
Last column: magnetic moment on the atom in μB.
Fractional coordinates of all 4 atoms:
Hg 0.000 0.000 0.000  0.00
Hg 0.500 0.000 0.500  0.02
Ag 0.000 0.500 0.500  0.01
Re 0.500 0.500 0.000  0.62

Properties
Energy, eV per atom: -3.70
Relative energy among the computed polymorphs, meV/atom: 268
Crystal system: orthorhombic
ρ, g/cm3: 15.94

---

A geometry-optimized Mo4P9O32 structure. Source: Alexandria, functional GGA-PBEsol.

Cell: 6.367 14.357 14.357 Å, 90.00 90.00 90.00°
Last column: magnetic moment on the atom in μB.
Fractional coordinates of all 90 atoms:
O 0.042 0.091 0.799  0.02
O 0.412 0.000 0.263  0.00
O 0.542 0.701 0.409  0.02
O 0.088 0.500 0.763  0.00
O 0.147 0.467 0.422  0.02
O 0.934 0.390 0.888  0.00
O 0.340 0.180 0.122  0.01
O 0.681 0.882 0.782  0.00
O 0.160 0.680 0.378  0.01
O 0.181 0.718 0.618  0.00
O 0.566 0.890 0.612  0.00
O 0.160 0.320 0.622  0.01
O 0.853 0.808 0.318  0.02
O 0.353 0.033 0.922  0.02
O 0.353 0.967 0.078  0.02
O 0.934 0.610 0.112  0.00
O 0.066 0.888 0.610  0.00
O 0.840 0.622 0.680  0.01
O 0.181 0.282 0.382  0.00
O 0.912 0.763 0.500  0.00
O 0.458 0.591 0.701  0.02
O 0.319 0.218 0.882  0.00
O 0.066 0.112 0.390  0.00
O 0.718 0.479 0.187  0.00
O 0.588 0.263 0.000  0.00
O 0.958 0.799 0.909  0.02
O 0.853 0.578 0.467  0.02
O 0.434 0.612 0.110  0.00
O 0.566 0.110 0.388  0.00
O 0.340 0.820 0.878  0.01
O 0.353 0.182 0.692  0.02
O 0.853 0.192 0.682  0.02
O 0.434 0.388 0.890  0.00
O 0.840 0.378 0.320  0.01
O 0.319 0.782 0.118  0.00
O 0.458 0.409 0.299  0.02
O 0.088 0.500 0.237  0.00
O 0.912 0.237 0.500  0.00
O 0.681 0.118 0.218  0.00
O 0.218 0.313 0.021  0.00
O 0.147 0.533 0.578  0.02
O 0.782 0.021 0.687  0.00
O 0.542 0.299 0.591  0.02
O 0.647 0.308 0.182  0.02
O 0.282 0.813 0.479  0.00
O 0.819 0.382 0.718  0.00
O 0.282 0.187 0.521  0.00
O 0.718 0.521 0.813  0.00
O 0.819 0.618 0.282  0.00
O 0.660 0.122 0.820  0.01
O 0.647 0.922 0.967  0.02
O 0.147 0.682 0.808  0.02
O 0.042 0.909 0.201  0.02
O 0.647 0.692 0.818  0.02
O 0.853 0.422 0.533  0.02
O 0.412 0.000 0.737  0.00
O 0.353 0.818 0.308  0.02
O 0.588 0.737 0.000  0.00
O 0.660 0.878 0.180  0.01
O 0.647 0.078 0.033  0.02
O 0.218 0.687 0.979  0.00
O 0.782 0.979 0.313  0.00
O 0.147 0.318 0.192  0.02
O 0.958 0.201 0.091  0.02
P 0.898 0.558 0.197  0.00
P 0.664 0.390 0.248  0.01
P 0.664 0.610 0.752  0.01
P 0.102 0.197 0.442  0.00
P 0.398 0.303 0.942  0.00
P 0.836 0.110 0.748  0.01
P 0.000 0.500 0.500  0.03
P 0.336 0.752 0.390  0.01
P 0.898 0.442 0.803  0.00
P 0.836 0.890 0.252  0.01
P 0.602 0.942 0.697  0.00
P 0.602 0.058 0.303  0.00
P 0.164 0.748 0.890  0.01
P 0.336 0.248 0.610  0.01
P 0.102 0.803 0.558  0.00
P 0.500 0.000 0.000  0.03
P 0.164 0.252 0.110  0.01
P 0.398 0.697 0.058  0.00
Mo 0.348 0.108 0.809  1.06
Mo 0.152 0.392 0.309  1.06
Mo 0.652 0.191 0.108  1.06
Mo 0.848 0.691 0.392  1.06
Mo 0.348 0.892 0.191  1.06
Mo 0.848 0.309 0.608  1.06
Mo 0.652 0.809 0.892  1.06
Mo 0.152 0.608 0.691  1.06

Properties
Energy, eV per atom: -7.95
Crystal system: tetragonal
ρ, g/cm3: 2.97

---

A geometry-optimized HoSeO3F structure. Source: Alexandria, functional GGA-PBEsol.

Cell: 6.540 6.790 7.084 Å, 90.00 99.18 90.00°
Fractional coordinates of all 24 atoms:
F 0.172 0.110 0.524
F 0.172 0.390 0.024
F 0.828 0.890 0.476
F 0.828 0.610 0.976
O 0.486 0.310 0.363
O 0.486 0.190 0.863
O 0.175 0.695 0.285
O 0.175 0.805 0.785
O 0.826 0.536 0.352
O 0.514 0.810 0.137
O 0.826 0.964 0.852
O 0.174 0.036 0.148
O 0.825 0.195 0.215
O 0.825 0.305 0.715
O 0.514 0.690 0.637
O 0.174 0.464 0.648
Se 0.356 0.617 0.792
Se 0.644 0.383 0.208
Se 0.356 0.883 0.292
Se 0.644 0.117 0.708
Ho 0.138 0.358 0.324
Ho 0.862 0.642 0.676
Ho 0.862 0.858 0.176
Ho 0.138 0.142 0.824

Properties
Energy, eV per atom: -6.85
Crystal system: monoclinic
ρ, g/cm3: 6.65

---

A geometry-optimized Cd2SiNi structure. Source: Alexandria, functional GGA-PBEsol.

Cell: 4.512 4.512 4.512 Å, 60.00 60.00 60.00°
Fractional coordinates of all 4 atoms:
Ni 0.500 0.500 0.500
Si 0.750 0.750 0.750
Cd 0.250 0.250 0.250
Cd 0.000 0.000 0.000

Properties
Energy, eV per atom: -3.27
Crystal system: cubic
ρ, g/cm3: 7.96